First-principles (PBE) data for a relaxed structure of AcCoRu, as listed in the Alexandria database.

## Properties
For the calculated density, the calculation gives 10.22 g cm⁻³. As for the formation enthalpy at 0 K: 0.0748 eV per atom.

Cell: 6.5917 6.5917 6.5909 Å, 60.68 139.88 136.46°
Fractional coordinates of all 6 atoms:
Ru (0.7501, 0.9436, 0.6936)
Ru (0.2499, 0.0564, 0.3064)
Ac (0.2500, 0.6250, 0.8750)
Ac (0.7500, 0.3750, 0.1250)
Co (0.5000, 0.5000, 0.5000)
Co (0.0000, 0.0000, 0.5000)